GGA+U Mn2HCl2O2, relaxed; E_tot = -5.790 eV/atom; density of states at the Fermi level = 2.5 states/eV/cell; crystal system = monoclinic; symmetry = C2/m
1.0
4.4091 -1.6491 0.0000
4.4091 1.6491 0.0000
-0.3570 0.0000 8.1086
Mn H Cl O
2 1 2 2
Direct
0.2276 0.2276 0.1620
0.7724 0.7724 0.8380
0.5000 0.5000 0.0000
0.1351 0.1351 0.6688
0.8649 0.8649 0.3312
0.3701 0.3701 0.9454
0.6299 0.6299 0.0546